No. 1
# LaCu2Au | Alexandria | PBE | relaxed
# energy	-4.35	eV per atom
# magnetization	0.0	μB per formula unit
data_LaCu2Au
_chemical_formula_sum 'La1 Cu2 Au1'
_cell_length_a 3.854
_cell_length_b 4.587
_cell_length_c 4.971
_cell_angle_alpha 90.00
_cell_angle_beta 90.00
_cell_angle_gamma 90.00
_space_group_name_H-M_alt 'P m m m'
_space_group_IT_number 47
_space_group_name_Hall '-P 2 2'
loop_
_atom_site_label
_atom_site_type_symbol
_atom_site_fract_x
_atom_site_fract_y
_atom_site_fract_z
La1 La 0.000 0.000 0.000
Cu1 Cu 0.500 0.500 0.246
Au1 Au 0.500 0.000 0.500



No. 2
# LaCu2Au | Alexandria | PBE | relaxed
# energy	-4.23	eV per atom
# magnetization	0.0	μB per formula unit
data_LaCu2Au
_chemical_formula_sum 'La4 Cu8 Au4'
_cell_length_a 4.538
_cell_length_b 4.538
_cell_length_c 18.107
_cell_angle_alpha 90.00
_cell_angle_beta 90.00
_cell_angle_gamma 90.00
_space_group_name_H-M_alt 'I -4 2 d'
_space_group_IT_number 122
_space_group_name_Hall 'I -4 2bw'
loop_
_atom_site_label
_atom_site_type_symbol
_atom_site_fract_x
_atom_site_fract_y
_atom_site_fract_z
La1 La 0.000 0.000 0.000
Cu1 Cu 0.054 0.250 0.625
Au1 Au 0.000 0.000 0.500



No. 3
# LaCuAu2 | Alexandria | PBE | relaxed
# energy	-4.35	eV per atom
# magnetization	0.0	μB per formula unit
data_LaCuAu2
_chemical_formula_sum 'La1 Cu1 Au2'
_cell_length_a 3.798
_cell_length_b 4.728
_cell_length_c 5.197
_cell_angle_alpha 90.00
_cell_angle_beta 90.00
_cell_angle_gamma 90.00
_space_group_name_H-M_alt 'P m m 2'
_space_group_IT_number 25
_space_group_name_Hall 'P 2 -2'
loop_
_atom_site_label
_atom_site_type_symbol
_atom_site_fract_x
_atom_site_fract_y
_atom_site_fract_z
La1 La 0.000 0.000 0.000
Cu1 Cu 0.500 0.500 0.273
Au1 Au 0.500 0.000 0.481
Au2 Au 0.500 0.500 0.779



Respective energy relative to the elements values: -246.3, -134.2, -452.6 meV per atom.